First-principles (PBE) data for a relaxed structure of AcAl2Hg, as listed in Alexandria.

As for the formation energy: -296 meV per atom. Its density of states at the Fermi level is 9.57 states/eV/cell.

It has space group Cmcm (No. 63), with a = 4.886 Å, b = 11.332 Å, c = 7.232 Å, α = 90.00°, β = 90.00° and γ = 90.00°. Symmetry generates all atoms from Ac at (0.000, 0.102, 0.250), Al at (0.000, 0.392, 0.064) and Hg at (0.000, 0.197, 0.750).

First-principles (PBE) data for a relaxed structure of ScPb2SeBr, as listed in Alexandria.

Its density of states at the Fermi level is 5.92 states/eV/cell. The formation energy without anion corrections is -0.08 eV per atom.

It has space group P4/mmm (No. 123), with a = 5.865 Å, b = 5.865 Å, c = 5.008 Å, α = 90.00°, β = 90.00° and γ = 90.00°. Symmetry generates all atoms from Sc at (0.000, 0.000, 0.000), Pb at (0.000, 0.500, 0.500), Se at (0.000, 0.000, 0.500) and Br at (0.500, 0.500, 0.000).